Tl2PtF6 | PBE-GGA | optimized geometry

Its volume is 173 Å³/f.u. The value obtained for the total energy is -74.18 eV for the cell shown. The total magnetization is 0.000 μB per atom.

Cell: 6.2873 6.2121 8.8411 Å, 90.00 90.28 90.00°
Closest atoms and distances in Å follow each position.
Positions (direct):
F 0.2916 0.7373 0.0162  1 Pt 1.98
F 0.4659 0.5014 0.7775  1 Pt 1.98
F 0.7084 0.2627 0.9838  1 Pt 1.98
F 0.2084 0.2373 0.4838  1 Pt 1.98
F 0.9659 0.9986 0.2775  1 Pt 1.98
F 0.5341 0.4986 0.2225  1 Pt 1.98
F 0.2341 0.7889 0.4833  1 Pt 1.98
F 0.7341 0.7111 0.9833  1 Pt 1.98
F 0.2659 0.2889 0.0167  1 Pt 1.98
F 0.7916 0.7627 0.5162  1 Pt 1.98
F 0.0341 0.0014 0.7225  1 Pt 1.98
F 0.7659 0.2111 0.5167  1 Pt 1.98
Tl 0.0020 0.5084 0.2488  9 F 2.95-3.19
Tl 0.5020 0.9916 0.7488  9 F 2.95-3.19
Tl 0.4980 0.0084 0.2512  9 F 2.95-3.19
Tl 0.9980 0.4916 0.7512  9 F 2.95-3.19
Pt 0.5000 0.5000 0.0000  6 F 1.98
Pt 0.0000 0.0000 0.5000  6 F 1.98